[1]
The following is a DFT calculation (GGA-PBE) of an optimized crystal structure of MnCr2As.

The structure in CIF format:
```
data_MnCr2As
_cell_length_a 3.024
_cell_length_b 3.024
_cell_length_c 5.658
_cell_angle_alpha 90.00
_cell_angle_beta 90.00
_cell_angle_gamma 90.00
_symmetry_space_group_name_H-M 'P 4/m m m'
_symmetry_Int_Tables_number 123
_symmetry_space_group_name_Hall '-P 4 2'
loop_
_atom_site_label
_atom_site_type_symbol
_atom_site_fract_x
_atom_site_fract_y
_atom_site_fract_z
_atom_site_occupancy
Mn1 Mn 0.000 0.000 0.000 1
Cr1 Cr 0.500 0.500 0.254 1
As1 As 0.000 0.000 0.500 1
```

---

[2]
The following is a DFT calculation (GGA-PBE) of an optimized crystal structure of PaTiIn2.

The structure in CIF format:
```
data_PaTiIn2
_cell_length_a 4.359
_cell_length_b 4.359
_cell_length_c 4.804
_cell_angle_alpha 90.00
_cell_angle_beta 90.00
_cell_angle_gamma 90.00
_symmetry_space_group_name_H-M 'P 4/m m m'
_symmetry_Int_Tables_number 123
_symmetry_space_group_name_Hall '-P 4 2'
loop_
_atom_site_label
_atom_site_type_symbol
_atom_site_fract_x
_atom_site_fract_y
_atom_site_fract_z
_atom_site_occupancy
Pa1 Pa 0.000 0.000 0.000 1
Ti1 Ti 0.500 0.500 0.000 1
In1 In 0.000 0.500 0.500 1
```

---

[3]
The following is a DFT calculation (GGA-PBE) of an optimized crystal structure of LiAcInAu6.

The structure in CIF format:
```
data_LiAcInAu6
_cell_length_a 5.948
_cell_length_b 9.328
_cell_length_c 15.266
_cell_angle_alpha 90.00
_cell_angle_beta 90.00
_cell_angle_gamma 90.00
_symmetry_space_group_name_H-M 'I m m a'
_symmetry_Int_Tables_number 74
_symmetry_space_group_name_Hall '-I 2b 2'
loop_
_atom_site_label
_atom_site_type_symbol
_atom_site_fract_x
_atom_site_fract_y
_atom_site_fract_z
_atom_site_occupancy
Li1 Li 0.250 0.250 0.250 1
Ac1 Ac 0.000 0.250 0.583 1
In1 In 0.000 0.000 0.000 1
Au1 Au 0.000 0.250 0.384 1
Au2 Au 0.000 0.250 0.808 1
Au3 Au 0.241 0.011 0.157 1
```

---

[4]
# SiAgBr2 (GGA-PBE, relaxed)
# uncorrected formation energy = -0.094 eV per atom
data_SiAgBr2
_cell_length_a 13.815
_cell_length_b 3.599
_cell_length_c 5.325
_cell_angle_alpha 90.00
_cell_angle_beta 111.51
_cell_angle_gamma 90.00
_symmetry_space_group_name_H-M 'C 1 m 1'
_symmetry_Int_Tables_number 8
_symmetry_space_group_name_Hall 'C -2y'
loop_
_atom_site_label
_atom_site_type_symbol
_atom_site_fract_x
_atom_site_fract_y
_atom_site_fract_z
_atom_site_occupancy
Si1 Si 0.000 0.000 0.000 1
Ag1 Ag 0.482 0.000 0.659 1
Br1 Br 0.121 0.500 0.386 1
Br2 Br 0.366 0.500 0.167 1

---

[5]
# Ac3SmY3Te8 (GGA-PBE, relaxed)
# uncorrected formation energy = -1.449 eV per atom
data_Ac3SmY3Te8
_cell_length_a 8.9624
_cell_length_b 8.9624
_cell_length_c 22.6219
_cell_angle_alpha 90.00
_cell_angle_beta 90.00
_cell_angle_gamma 120.00
_symmetry_space_group_name_H-M 'R -3 m'
_symmetry_Int_Tables_number 166
_symmetry_space_group_name_Hall '-R 3 2"'
loop_
_atom_site_label
_atom_site_type_symbol
_atom_site_fract_x
_atom_site_fract_y
_atom_site_fract_z
_atom_site_occupancy
Ac1 Ac 0.0000 0.5000 0.0000 1
Sm1 Sm 0.0000 0.0000 0.5000 1
Y1 Y 0.0000 0.5000 0.5000 1
Te1 Te 0.0000 0.0000 0.2416 1
Te2 Te 0.0130 0.5065 0.7551 1

---

[6]
# CsPrPbF6 (GGA-PBE, relaxed)
# uncorrected formation energy = -3.150 eV per atom
data_CsPrPbF6
_cell_length_a 8.587
_cell_length_b 8.917
_cell_length_c 12.706
_cell_angle_alpha 90.00
_cell_angle_beta 90.00
_cell_angle_gamma 90.00
_symmetry_space_group_name_H-M 'I m m a'
_symmetry_Int_Tables_number 74
_symmetry_space_group_name_Hall '-I 2b 2'
loop_
_atom_site_label
_atom_site_type_symbol
_atom_site_fract_x
_atom_site_fract_y
_atom_site_fract_z
_atom_site_occupancy
Cs1 Cs 0.000 0.250 0.064 1
Pr1 Pr 0.000 0.000 0.500 1
Pb1 Pb 0.250 0.250 0.750 1
F1 F 0.000 0.250 0.447 1
F2 F 0.000 0.250 0.839 1
F3 F 0.197 0.052 0.617 1

---

Number 1: total energy -8.17 eV per atom, D(E_F) 3.342 states/eV/f.u.. Number 2: total energy -5.68 eV per atom, D(E_F) 6.791 states/eV/f.u.. Number 3: total energy -3.44 eV per atom, D(E_F) 2.773 states/eV/f.u.. Number 4: total energy -3.00 eV per atom, D(E_F) 1.036 states/eV/f.u.. Number 5: total energy -5.55 eV per atom, D(E_F) 7.670 states/eV/f.u.. Number 6: total energy -5.44 eV per atom, D(E_F) 0.000 states/eV/f.u..